Entry 1:
## TaTiNb2 (PBE)

Data for a geometry-optimized TaTiNb2 structure.

a = 7.2959 Å, b = 7.2959 Å, c = 5.6238 Å
α = 90.00°, β = 90.00°, γ = 90.00°
Space group I-42d (No. 122)
Asymmetric unit:
Ta  0.0000  0.0000  0.0000 [4 per cell]
Ti  0.0000  0.0000  0.5000 [4 per cell]
Nb  0.2447  0.2500  0.6250 [8 per cell]

Computed properties:
ρ in g cm⁻³: 9.200
Relative energy among the computed polymorphs in meV per atom: 533
Density of states at the Fermi level in states/eV/atom: 1.162
Energy relative to the elements in eV/atom: 0.55

Entry 2:
## Tc2GeC (PBE)

Data for a geometry-optimized Tc2GeC structure.

a = 5.8222 Å, b = 5.8222 Å, c = 5.8222 Å
α = 90.00°, β = 90.00°, γ = 90.00°
Space group Fm-3m (No. 225)
Asymmetric unit:
Tc  0.2500  0.2500  0.2500 [8 per cell]
Ge  0.0000  0.0000  0.0000 [4 per cell]
C  0.0000  0.0000  0.5000 [4 per cell]

Computed properties:
ρ in g cm⁻³: 9.445
Relative energy among the computed polymorphs in meV per atom: 741
Density of states at the Fermi level in states/eV/atom: 0.812
Energy relative to the elements in eV/atom: 0.84

Entry 3:
## VMo4 (PBE)

Data for a geometry-optimized VMo4 structure.

a = 12.8793 Å, b = 4.4240 Å, c = 2.7254 Å
α = 90.00°, β = 98.08°, γ = 90.00°
Space group C2/m (No. 12)
Asymmetric unit:
V  0.0000  0.0000  0.0000 [2 per cell]
Mo  0.0985  0.5000  0.4000 [4 per cell]
Mo  0.1979  0.0000  0.7974 [4 per cell]

Computed properties:
ρ in g cm⁻³: 9.390
Relative energy among the computed polymorphs in meV per atom: 0
Density of states at the Fermi level in states/eV/atom: 0.490
Energy relative to the elements in eV/atom: -0.09

Entry 4:
## Cu2MoSe (PBE)

Data for a geometry-optimized Cu2MoSe structure.

a = 6.1235 Å, b = 6.1235 Å, c = 6.1235 Å
α = 90.00°, β = 90.00°, γ = 90.00°
Space group F-43m (No. 216)
Asymmetric unit:
Cu  0.0000  0.0000  0.0000 [4 per cell]
Cu  0.2500  0.2500  0.2500 [4 per cell]
Mo  0.2500  0.2500  0.7500 [4 per cell]
Se  0.0000  0.0000  0.5000 [4 per cell]

Computed properties:
Formation energy without anion corrections in eV per formula unit: 1.5
ρ in g cm⁻³: 8.736
Density of states at the Fermi level in states/eV/atom: 0.533

| no. | total energy (eV per atom) |
| --- | --- |
| 1 | -9.42 |
| 2 | -7.80 |
| 3 | -10.58 |
| 4 | -5.24 |